Entry 1:
Below is an optimized crystal structure of CaCoAs2, with properties calculated at the PBE level.

The structure belongs to space group I-4m2 (No. 119); the cell edges are 3.9741, 3.9741 and 9.3011 Å and the angles 90.00°, 90.00° and 90.00°. Symmetry generates all atoms from Ca at (0.0000, 0.0000, 0.0000), Co at (0.0000, 0.5000, 0.7500), As at (0.0000, 0.0000, 0.5000) and As at (0.0000, 0.5000, 0.2500).

The calculation puts the magnetization at 2.6 μB per cell. The value obtained for the energy of formation is -0.0618 eV per atom. Its total DFT energy (no corrections) is -18.65 eV/f.u.

---

Entry 2:
Below is an optimized crystal structure of CaFeCoAs2, with properties calculated at the PBE level.

The structure belongs to space group I-4m2 (No. 119); the cell edges are 3.8788, 3.8788 and 11.2288 Å and the angles 90.00°, 90.00° and 90.00°. Symmetry generates all atoms from Ca at (0.0000, 0.0000, 0.0000), Fe at (0.0000, 0.5000, 0.7500), Co at (0.0000, 0.5000, 0.2500) and As at (0.0000, 0.0000, 0.3627).

The calculation puts the magnetization at 0.0 μB per cell. The value obtained for the energy of formation is -0.5776 eV per atom. Its total DFT energy (no corrections) is -29.76 eV/f.u.